(1)
Material: Ca2YTl
Method: DFT, meta-GGA SCAN
State: single point on PBEsol structure

## Properties
Energy of formation from the pure elements: -0.32 eV/atom
Crystal system: tetragonal
Energy above the lowest structure with this stoichiometry: 0.000 eV per formula unit
Mass density: 5.29 g/cm3

a = 4.7787 Å, b = 4.7787 Å, c = 5.1342 Å
α = 90.00°, β = 90.00°, γ = 90.00°
Last column: nearest neighbours and their distance in Å.
Fractional coordinates of all 4 atoms:
1 Tl 0.5000 0.5000 0.5000  4 Y 3.38, 8 Ca 3.51
2 Ca 0.5000 0.0000 0.0000  4 Ca 3.38, 4 Tl 3.51, 4 Y 3.51
3 Ca 0.0000 0.5000 0.0000  4 Ca 3.38, 4 Tl 3.51, 4 Y 3.51
4 Y 0.0000 0.0000 0.5000  4 Tl 3.38, 8 Ca 3.51

***

(2)
Material: CaY2Tl
Method: DFT, meta-GGA SCAN
State: single point on PBEsol structure

## Properties
Energy of formation from the pure elements: -0.28 eV/atom
Crystal system: tetragonal
Energy above the lowest structure with this stoichiometry: 0.167 eV per formula unit
Mass density: 5.84 g/cm3

a = 3.5751 Å, b = 3.5751 Å, c = 9.3975 Å
α = 90.00°, β = 90.00°, γ = 90.00°
Last column: nearest neighbours and their distance in Å.
Fractional coordinates of all 4 atoms:
1 Y 0.0000 0.0000 0.9749  4 Tl 3.25, 8 Y 3.51-3.58
2 Y 0.5000 0.5000 0.2339  8 Y 3.51-3.58, 4 Ca 3.79
3 Tl 0.5000 0.5000 0.7568  4 Y 3.25, 4 Ca 3.28, 4 Tl 3.58
4 Ca 0.0000 0.0000 0.5345  4 Tl 3.28, 4 Ca 3.58